This record from Alexandria describes a relaxed structure of Ag2PtBr. The functional is GGA-PBEsol.

Calculated values
Total magnetic moment ... 0.0 μB per cell
ΔE to the lowest computed polymorph ... 204.4 meV/atom
Uncorrected formation energy ... 1.61 eV per formula unit

Cell: 4.6352 4.6352 4.6352 Å, 60.00 60.00 60.00°
Sites, in units of the cell vectors:
Br 0.5000 0.5000 0.5000
Ag 0.0000 0.0000 0.0000
Ag 0.2500 0.2500 0.2500
Pt 0.7500 0.7500 0.7500


This record from Alexandria describes a relaxed structure of Ca2TlPb. The functional is GGA-PBEsol.

Calculated values
Total magnetic moment ... 0.0 μB per cell
ΔE to the lowest computed polymorph ... 0.0 meV/atom
E_form ... -0.540 eV/atom

Cell: 3.8630 5.4142 5.4142 Å, 90.05 90.00 90.00°
Sites, in units of the cell vectors:
Pb 0.5000 0.0000 0.0000
Tl 0.5000 0.5000 0.5000
Ca 0.0000 0.5000 0.0000
Ca 0.0000 0.0000 0.5000


This record from Alexandria describes a relaxed structure of LiHgIr3. The functional is GGA-PBEsol.

Calculated values
Total magnetic moment ... 0.0 μB per cell
E_form ... 1.048 eV/atom

Cell: 4.1646 4.1646 4.1646 Å, 90.00 90.00 90.00°
Sites, in units of the cell vectors:
Ir 0.0000 0.5000 0.0000
Ir 0.0000 0.0000 0.5000
Ir 0.5000 0.0000 0.0000
Hg 0.5000 0.5000 0.5000
Li 0.0000 0.0000 0.0000


This record from Alexandria describes a relaxed structure of K3AgOs. The functional is GGA-PBEsol.

Calculated values
Total magnetic moment ... 2.3 μB per cell
E_form ... 1.554 eV/atom

Cell: 6.0245 6.0245 6.0245 Å, 90.00 90.00 90.00°
Each line ends with the local moment (μB).
Sites, in units of the cell vectors:
K 0.0000 0.5000 0.0000  -0.01
K 0.0000 0.0000 0.5000  -0.01
K 0.5000 0.0000 0.0000  -0.01
Os 0.5000 0.5000 0.5000  2.22
Ag 0.0000 0.0000 0.0000  -0.01


This record from Alexandria describes a relaxed structure of CrPb. The functional is GGA-PBEsol.

Calculated values
Total magnetic moment ... 0.0 μB per cell
E_form ... 0.693 eV/atom

Cell: 3.0945 4.5466 6.3121 Å, 110.82 104.19 90.00°
Sites, in units of the cell vectors:
Cr 0.3147 0.0655 0.6294
Cr 0.6853 0.9345 0.3706
Pb 0.1124 0.3621 0.2248
Pb 0.8876 0.6379 0.7752


This record from Alexandria describes a relaxed structure of Cu2Pb2F. The functional is GGA-PBEsol.

Calculated values
Total magnetic moment ... 0.0 μB per cell
Uncorrected formation energy ... -1.55 eV per formula unit

Cell: 3.4260 3.4260 8.0370 Å, 102.31 102.31 90.00°
Sites, in units of the cell vectors:
Pb 0.3990 0.3990 0.7981
Pb 0.6010 0.6010 0.2019
Cu 0.2500 0.7500 0.5000
Cu 0.7500 0.2500 0.5000
F 0.0000 0.0000 0.0000


This record from Alexandria describes a relaxed structure of BeFe2Ir. The functional is GGA-PBEsol.

Calculated values
Total magnetic moment ... 4.0 μB per cell
E_form ... -0.145 eV/atom

Cell: 2.8363 3.7746 4.0834 Å, 90.00 90.00 90.00°
Each line ends with the local moment (μB).
Sites, in units of the cell vectors:
Be 0.0000 0.5000 0.5000  -0.04
Ir 0.5000 0.0000 0.5000  0.12
Fe 0.0000 0.0000 0.0000  2.17
Fe 0.5000 0.5000 0.0000  1.78


This record from Alexandria describes a relaxed structure of MoP2O8. The functional is GGA-PBEsol.

Calculated values
Total magnetic moment ... 0.4 μB per cell
ΔE to the lowest computed polymorph ... 0.0 meV/atom
Uncorrected formation energy ... -22.30 eV per formula unit

Cell: 4.8810 10.4209 12.8607 Å, 90.00 90.00 95.24°
Each line ends with the local moment (μB).
Sites, in units of the cell vectors:
Mo 0.8082 0.7160 0.4363  0.00
Mo 0.6918 0.7840 0.9363  0.00
Mo 0.3082 0.2160 0.0637  0.00
Mo 0.1918 0.2840 0.5637  0.00
P 0.2966 0.6161 0.5939  0.00
P 0.7034 0.3839 0.4061  0.00
P 0.6874 0.2942 0.7403  0.00
P 0.8126 0.2058 0.2403  0.00
P 0.2034 0.8839 0.0939  0.00
P 0.1874 0.7942 0.7597  0.00
P 0.7966 0.1161 0.9061  0.00
P 0.3126 0.7058 0.2597  0.00
O 0.4442 0.2398 0.6677  0.01
O 0.0558 0.2602 0.1677  0.01
O 0.9307 0.3346 0.6648  0.01
O 0.8808 0.1118 0.3183  0.06
O 0.9442 0.7398 0.8323  0.01
O 0.0693 0.6654 0.3352  0.01
O 0.1192 0.8882 0.6817  0.06
O 0.0161 0.6315 0.5434  0.00
O 0.0457 0.1368 0.5443  0.00
O 0.0173 0.2106 0.9598  0.00
O 0.2175 0.8385 0.2113  0.00
O 0.2825 0.6615 0.7113  0.00
O 0.1313 0.0204 0.0960  0.00
O 0.4839 0.8685 0.0434  0.00
O 0.3808 0.6118 0.1817  0.06
O 0.3687 0.4796 0.5960  0.00
O 0.4307 0.8346 0.8352  0.01
O 0.5558 0.7602 0.3323  0.01
O 0.4827 0.2894 0.4598  0.00
O 0.9543 0.8632 0.4557  0.00
O 0.5457 0.6368 0.9557  0.00
O 0.5173 0.7106 0.5402  0.00
O 0.4543 0.3631 0.0443  0.00
O 0.5693 0.1654 0.1648  0.01
O 0.6313 0.5204 0.4040  0.00
O 0.6192 0.3882 0.8183  0.06
O 0.5161 0.1315 0.9566  0.00
O 0.8687 0.9796 0.9040  0.00
O 0.7175 0.3385 0.2887  0.00
O 0.7825 0.1615 0.7887  0.00
O 0.9827 0.7894 0.0402  0.00
O 0.9839 0.3685 0.4566  0.00